K4Te3N4 | PBE-GGA | optimized geometry

abc: 5.796 6.991 13.787
angles: 135.00 102.13 90.00
Sites, in units of the cell vectors:
1 N 0.403 0.467 0.806
2 K 0.214 0.668 0.427
3 Te 0.169 0.040 0.338
4 N 0.605 0.395 0.209
5 K 0.786 0.332 0.573
6 N 0.395 0.605 0.791
7 K 0.579 0.907 0.159
8 Te 0.831 0.960 0.662
9 K 0.421 0.093 0.841
10 Te 0.000 0.500 0.000
11 N 0.597 0.533 0.194

Computed properties:
Energy = -4.814 eV per atom
Magnetic moment = 0.00 μB/cell
Formation energy without anion corrections = -0.530 eV/atom